LaTa2Fe, optimized geometry, DFT PBE; magnetic moment = 0.00 μB per formula unit; formation energy = 0.590 eV/atom; symmetry = Fm-3m, No. 225; E above lowest polymorph = 0.377 eV/atom
1.0
0.000 3.291 3.291
3.291 0.000 3.291
3.291 3.291 0.000
Ta La Fe
2 1 1
direct
0.250 0.250 0.250 Ta
0.750 0.750 0.750 Ta
0.500 0.500 0.500 La
0.000 0.000 0.000 Fe